## SrBePt3 (PBE)

Data for a relaxed SrBePt3 crystal.

## Properties
DFT formation energy (eV/f.u.): -0.73
N(E_F) (states/eV/cell): 2.1
Space group: R-3c, No. 167

abc: 5.723 5.723 5.723
angles: 85.74 85.74 85.74
Fractional positions:
Pt: 0.750 0.021 0.479
Sr: 0.000 0.000 0.000
Pt: 0.021 0.479 0.750
Pt: 0.479 0.750 0.021
Be: 0.750 0.750 0.750
Sr: 0.500 0.500 0.500
Be: 0.250 0.250 0.250
Pt: 0.250 0.979 0.521
Pt: 0.521 0.250 0.979
Pt: 0.979 0.521 0.250

## LaPbC2 (PBE)

Data for a relaxed LaPbC2 crystal.

## Properties
DFT formation energy (eV/f.u.): 3.97
N(E_F) (states/eV/cell): 3.9
Space group: I-42d, No. 122

abc: 6.378 6.378 5.879
angles: 57.15 57.15 90.00
Fractional positions:
La: 0.250 0.750 0.500
Pb: 0.750 0.250 0.500
C: 0.658 0.125 0.250
C: 0.092 0.625 0.250
La: 0.500 0.500 0.000
C: 0.375 0.342 0.750
C: 0.875 0.908 0.750
Pb: 0.000 0.000 0.000

no.,energy (eV per atom)
1,-4.85
2,-5.78